Density functional theory data (GGA-PBE) for an optimized crystal structure of VZn2AgOs.

extended XYZ file:
```
5
Lattice="4.704 0.000 0.000 0.000 4.704 0.000 0.000 0.000 5.035" Properties=species:S:1:pos:R:3 pbc="T T T"
V 0.000 0.000 0.000
Zn 0.000 2.352 2.517
Zn 2.352 0.000 2.517
Ag 2.352 2.352 0.000
Os 2.352 2.352 2.517
```

Properties
- Total energy: -18.4 eV per formula unit
- Formation energy: 1.4770 eV/atom
- Total magnetization: 0.046 μB per formula unit

---

Density functional theory data (GGA-PBE) for an optimized crystal structure of Ag2OsW.

extended XYZ file:
```
4
Lattice="3.758 0.000 0.000 0.000 3.758 0.000 0.000 0.000 4.622" Properties=species:S:1:pos:R:3 pbc="T T T"
Ag 0.000 1.879 0.000
Ag 1.879 0.000 0.000
Os 0.000 0.000 2.311
W 1.879 1.879 2.311
```

Properties
- Total energy: -27.0 eV per formula unit
- Formation energy: 0.7254 eV/atom
- Energy above the most stable polymorph in this dataset: 438 meV/atom
- Total magnetization: 0.000 μB per formula unit

---

Density functional theory data (GGA-PBE) for an optimized crystal structure of Ag2OsW.

extended XYZ file:
```
8
Lattice="-3.727 3.727 2.578 3.727 -3.727 2.578 3.727 3.727 -2.578" Properties=species:S:1:pos:R:3 pbc="T T T"
Ag 5.590 1.842 -0.644
Ag 1.842 1.863 0.644
Ag -1.863 1.885 1.933
Ag 1.885 1.863 3.222
Os 0.000 0.000 0.000
Os 0.000 3.727 1.289
W 3.727 0.000 1.289
W 0.000 0.000 2.578
```

Properties
- Total energy: -24.0 eV per formula unit
- Formation energy: 1.4644 eV/atom
- Energy above the most stable polymorph in this dataset: 1177 meV/atom
- Total magnetization: 0.725 μB per formula unit

---

Density functional theory data (GGA-PBE) for an optimized crystal structure of Ag2OsW.

extended XYZ file:
```
4
Lattice="-1.885 1.885 4.568 1.885 -1.885 4.568 1.885 1.885 -4.568" Properties=species:S:1:pos:R:3 pbc="T T T"
Ag 1.885 0.000 2.284
Ag 0.000 1.885 2.284
Os 0.000 0.000 0.000
W 0.000 0.000 4.568
```

Properties
- Total energy: -27.1 eV per formula unit
- Formation energy: 0.6849 eV/atom
- Energy above the most stable polymorph in this dataset: 398 meV/atom
- Total magnetization: 0.000 μB per formula unit